# Tb3SmTl3Te8

Crystalline Tb3SmTl3Te8 at its relaxed geometry (GGA-PBE, Alexandria via LeMat-Bulk).

Cell: 15.3420 8.8440 9.6361 Å, 90.00 122.10 90.00°
Space group C2/m (No. 12)
Unique sites:
Tb: 0.0000 0.0000 0.0000
Tb: 0.2500 0.2500 0.0000
Sm: 0.0000 0.5000 0.0000
Tl: 0.0000 0.5000 0.5000
Tl: 0.2500 0.2500 0.5000
Te: 0.0121 0.2456 0.7819
Te: 0.2389 0.0000 0.2167
Te: 0.2423 0.5000 0.2181

## Properties
- ρ: 6.8 g/cm3
- Formation energy (no corrections): -1.06 eV/atom
- Spin magnetization: 0.00 μB/cell